Entry 1:
Computed, not measured: a relaxed structure of AcTbThCd at the PBE level of DFT.

The calculation puts the formation energy at 0.147 eV/atom. The value obtained for the density of states at the Fermi level is 22.40 states/eV per cell.

It has space group F-43m (No. 216), with a = 7.990 Å, b = 7.990 Å, c = 7.990 Å, α = 90.00°, β = 90.00° and γ = 90.00°. The distinct sites, in fractional coordinates, are Ac at (0.000, 0.000, 0.000), Tb at (0.250, 0.250, 0.250), Th at (0.250, 0.250, 0.750) and Cd at (0.000, 0.000, 0.500).


Entry 2:
Computed, not measured: a relaxed structure of Cr2CoAg at the PBE level of DFT.

The calculation puts the formation energy at 0.407 eV/atom. The calculation puts the energy relative to the lowest polymorph listed for this composition at 58 meV/atom. The value obtained for the density of states at the Fermi level is 5.10 states/eV per cell.

It has space group P4mm (No. 99), with a = 2.586 Å, b = 2.586 Å, c = 7.734 Å, α = 90.00°, β = 90.00° and γ = 90.00°. The distinct sites, in fractional coordinates, are Cr at (0.000, 0.000, 0.000), Cr at (0.500, 0.500, 0.244), Co at (0.500, 0.500, 0.802) and Ag at (0.000, 0.000, 0.526).


Entry 3:
Computed, not measured: a relaxed structure of CuRhW2 at the PBE level of DFT.

The calculation puts the formation energy at 0.520 eV/atom. The calculation puts the energy relative to the lowest polymorph listed for this composition at 431 meV/atom. The value obtained for the density of states at the Fermi level is 22.42 states/eV per cell.

It has space group Fm-3m (No. 225), with a = 6.198 Å, b = 6.198 Å, c = 6.198 Å, α = 90.00°, β = 90.00° and γ = 90.00°. The distinct sites, in fractional coordinates, are Cu at (0.000, 0.000, 0.000), Rh at (0.000, 0.000, 0.500) and W at (0.250, 0.250, 0.250).


Entry 4:
Computed, not measured: a relaxed structure of LiCl5 at the PBE level of DFT.

The calculation puts the energy relative to the lowest polymorph listed for this composition at 773 meV/atom. As for the uncorrected formation energy: 198 meV/atom. The value obtained for the density of states at the Fermi level is 4.38 states/eV per cell.

It has space group P6/mmm (No. 191), with a = 6.1370 Å, b = 6.1370 Å, c = 4.9175 Å, α = 90.00°, β = 90.00° and γ = 120.00°. The distinct sites, in fractional coordinates, are Li at (0.0000, 0.0000, 0.0000), Cl at (0.0000, 0.5000, 0.5000) and Cl at (0.3333, 0.6667, 0.0000).


Entry 5:
Computed, not measured: a relaxed structure of Mg2TaPbAu at the PBE level of DFT.

The calculation puts the formation energy at 0.869 eV/atom. The value obtained for the density of states at the Fermi level is 3.44 states/eV per cell.

It has space group P4/mmm (No. 123), with a = 4.897 Å, b = 4.897 Å, c = 5.534 Å, α = 90.00°, β = 90.00° and γ = 90.00°. The distinct sites, in fractional coordinates, are Mg at (0.000, 0.500, 0.000), Ta at (0.000, 0.000, 0.500), Pb at (0.500, 0.500, 0.500) and Au at (0.500, 0.500, 0.000).


Entry 6:
Computed, not measured: a relaxed structure of MgCu2Br at the PBE level of DFT.

The calculation puts the energy relative to the lowest polymorph listed for this composition at 233 meV/atom. As for the uncorrected formation energy: 93 meV/atom. The value obtained for the density of states at the Fermi level is 2.66 states/eV per cell.

It has space group Pmmm (No. 47), with a = 3.560 Å, b = 3.572 Å, c = 5.710 Å, α = 90.00°, β = 90.00° and γ = 90.00°. The distinct sites, in fractional coordinates, are Mg at (0.000, 0.000, 0.000), Cu at (0.500, 0.500, 0.208) and Br at (0.000, 0.000, 0.500).


Entry 7:
Computed, not measured: a relaxed structure of CaMg2Re at the PBE level of DFT.

The calculation puts the formation energy at 0.552 eV/atom. The calculation puts the energy relative to the lowest polymorph listed for this composition at 143 meV/atom. The value obtained for the density of states at the Fermi level is 7.41 states/eV per cell.

It has space group Cmmm (No. 65), with a = 6.132 Å, b = 8.808 Å, c = 2.955 Å, α = 90.00°, β = 90.00° and γ = 90.00°. The distinct sites, in fractional coordinates, are Ca at (0.000, 0.000, 0.000), Mg at (0.250, 0.250, 0.500) and Re at (0.000, 0.500, 0.000).


Entry 8:
Computed, not measured: a relaxed structure of ReSb5 at the PBE level of DFT.

The calculation puts the energy relative to the lowest polymorph listed for this composition at 57 meV/atom. As for the uncorrected formation energy: 273 meV/atom. The value obtained for the density of states at the Fermi level is 4.76 states/eV per cell.

It has space group Cmmm (No. 65), with a = 3.235 Å, b = 22.044 Å, c = 5.183 Å, α = 90.00°, β = 90.00° and γ = 90.00°. The distinct sites, in fractional coordinates, are Re at (0.000, 0.000, 0.000), Sb at (0.000, 0.000, 0.500), Sb at (0.000, 0.332, 0.500) and Sb at (0.000, 0.402, 0.000).